(1)
## Ba3Mn (GGA-PBE)

Data for a relaxed structure of Ba3Mn.

Summary:
As for the energy of formation from the pure elements: 0.482 eV/atom.

Lattice parameters (Å, degrees): 6.1558 6.1558 4.9501 90.00 90.00 90.08
With the nearest neighbours (Å) after each atom.
Fractional positions:
Ba 0.0000 0.5000 0.5000  8 Ba 3.95-4.36, 4 Mn 3.95
Ba 0.5000 0.0000 0.5000  4 Mn 3.95, 8 Ba 3.95-4.36
Ba 0.5000 0.5000 0.0000  8 Ba 3.95, 4 Mn 4.35-4.36
Mn 0.0000 0.0000 0.0000  12 Ba 3.95-4.36



(2)
## Ba2Mn (GGA-PBE)

Data for a relaxed structure of Ba2Mn.

Summary:
As for the energy of formation from the pure elements: 0.557 eV/atom.

Lattice parameters (Å, degrees): 4.4982 4.4982 8.2359 90.00 90.00 120.00
With the nearest neighbours (Å) after each atom.
Fractional positions:
Ba 0.3333 0.6667 0.7440  3 Mn 3.35
Ba 0.6667 0.3333 0.2560  3 Mn 3.35
Mn 0.0000 0.0000 0.0000  6 Ba 3.35



(3)
## Ba2Mn (GGA-PBE)

Data for a relaxed structure of Ba2Mn.

Summary:
As for the energy of formation from the pure elements: 0.370 eV/atom.

Lattice parameters (Å, degrees): 8.9225 8.9225 7.1883 79.87 79.87 30.05
With the nearest neighbours (Å) after each atom.
Fractional positions:
Ba 0.8403 0.8403 0.8102  3 Mn 3.39-3.46
Ba 0.5882 0.5882 0.7093  3 Mn 3.34-3.47
Ba 0.4118 0.4118 0.2907  3 Mn 3.34-3.47
Ba 0.1597 0.1597 0.1898  3 Mn 3.39-3.46
Mn 0.2389 0.2389 0.5886  2 Mn 2.63
Mn 0.7611 0.7611 0.4114  2 Mn 2.63



(4)
## Ba3Mn4 (GGA-PBE)

Data for a relaxed structure of Ba3Mn4.

Summary:
As for the energy of formation from the pure elements: 1.134 eV/atom.

Lattice parameters (Å, degrees): 7.2666 7.2666 5.3005 90.00 90.00 120.00
With the nearest neighbours (Å) after each atom.
Fractional positions:
Ba 0.0000 0.5000 0.0000  4 Mn 3.38, 4 Ba 3.63
Ba 0.5000 0.5000 0.0000  4 Mn 3.38, 4 Ba 3.63
Ba 0.5000 0.0000 0.0000  4 Mn 3.38, 4 Ba 3.63
Mn 0.0000 0.0000 0.2462  2 Mn 2.61-2.69
Mn 0.0000 0.0000 0.7538  2 Mn 2.61-2.69
Mn 0.6667 0.3333 0.5000  6 Ba 3.38
Mn 0.3333 0.6667 0.5000  6 Ba 3.38



(5)
## Ba2Mn (GGA-PBE)

Data for a relaxed structure of Ba2Mn.

Summary:
As for the energy of formation from the pure elements: 0.559 eV/atom.

Lattice parameters (Å, degrees): 5.8886 5.8886 3.9457 90.00 90.00 90.00
With the nearest neighbours (Å) after each atom.
Fractional positions:
Ba 0.0000 0.5000 0.5000  4 Mn 3.54, 2 Ba 3.95
Ba 0.5000 0.0000 0.5000  4 Mn 3.54, 2 Ba 3.95
Mn 0.0000 0.0000 0.0000  8 Ba 3.54, 2 Mn 3.95



(6)
## Ba3Mn (GGA-PBE)

Data for a relaxed structure of Ba3Mn.

Summary:
As for the energy of formation from the pure elements: 0.474 eV/atom.

Lattice parameters (Å, degrees): 8.1185 8.1185 12.9069 90.00 90.00 120.00
With the nearest neighbours (Å) after each atom.
Fractional positions:
Mn 0.0000 0.0000 0.0000  12 Ba 3.92-4.06
Mn 0.0000 0.0000 0.5000  12 Ba 3.92-4.06
Mn 0.3333 0.6667 0.2500  12 Ba 3.99-4.06
Mn 0.6667 0.3333 0.7500  12 Ba 3.99-4.06
Ba 0.5000 0.0000 0.0000  4 Mn 3.99-4.06, 8 Ba 4.02-4.06
Ba 0.5000 0.0000 0.5000  4 Mn 3.99-4.06, 8 Ba 4.02-4.06
Ba 0.0000 0.5000 0.0000  4 Mn 3.99-4.06, 8 Ba 4.02-4.06
Ba 0.5000 0.5000 0.0000  4 Mn 3.99-4.06, 8 Ba 4.02-4.06
Ba 0.5000 0.5000 0.5000  4 Mn 3.99-4.06, 8 Ba 4.02-4.06
Ba 0.0000 0.5000 0.5000  4 Mn 3.99-4.06, 8 Ba 4.02-4.06
Ba 0.8415 0.6830 0.2500  8 Ba 3.86-4.26, 4 Mn 3.92-4.06
Ba 0.1585 0.3170 0.7500  8 Ba 3.86-4.26, 4 Mn 3.92-4.06
Ba 0.3170 0.1585 0.2500  8 Ba 3.86-4.26, 4 Mn 3.92-4.06
Ba 0.8415 0.1585 0.2500  8 Ba 3.86-4.26, 4 Mn 3.92-4.06
Ba 0.1585 0.8415 0.7500  8 Ba 3.86-4.26, 4 Mn 3.92-4.06
Ba 0.6830 0.8415 0.7500  8 Ba 3.86-4.26, 4 Mn 3.92-4.06



(7)
## Ba3Mn5 (GGA-PBE)

Data for a relaxed structure of Ba3Mn5.

Summary:
As for the energy of formation from the pure elements: 0.877 eV/atom.

Lattice parameters (Å, degrees): 6.7133 6.7133 5.3339 90.00 90.00 111.02
With the nearest neighbours (Å) after each atom.
Fractional positions:
Ba 0.5000 0.5000 0.0000  8 Mn 3.36-3.62
Ba 0.7397 0.2603 0.5000  6 Mn 3.18-3.28
Ba 0.2603 0.7397 0.5000  6 Mn 3.18-3.28
Mn 0.0000 0.0000 0.0000  4 Mn 2.99
Mn 0.0000 0.5000 0.0000  6 Ba 3.28-3.36, 2 Mn 3.36
Mn 0.5000 0.0000 0.0000  6 Ba 3.28-3.36, 2 Mn 3.36
Mn 0.1784 0.1784 0.5000  3 Mn 2.71-2.99
Mn 0.8216 0.8216 0.5000  3 Mn 2.71-2.99



(8)
## Ba6Mn7 (GGA-PBE)

Data for a relaxed structure of Ba6Mn7.

Summary:
As for the energy of formation from the pure elements: 0.642 eV/atom.

Lattice parameters (Å, degrees): 11.4761 11.4761 11.4761 34.71 34.71 34.71
With the nearest neighbours (Å) after each atom.
Fractional positions:
Mn 0.8211 0.4505 0.4505  3 Mn 2.54-2.81
Mn 0.4505 0.4505 0.8211  3 Mn 2.54-2.81
Mn 0.4505 0.8211 0.4505  3 Mn 2.54-2.81
Mn 0.1789 0.5495 0.5495  3 Mn 2.54-2.81
Mn 0.5495 0.1789 0.5495  3 Mn 2.54-2.81
Mn 0.5495 0.5495 0.1789  3 Mn 2.54-2.81
Mn 0.5000 0.5000 0.5000  6 Mn 2.81
Ba 0.9380 0.9380 0.9380  1 Ba 3.55, 6 Mn 3.60
Ba 0.0620 0.0620 0.0620  1 Ba 3.55, 6 Mn 3.60
Ba 0.8281 0.8281 0.8281  3 Mn 3.34, 1 Ba 3.55
Ba 0.1719 0.1719 0.1719  3 Mn 3.34, 1 Ba 3.55
Ba 0.6769 0.6769 0.6769  6 Mn 3.63-3.64, 3 Ba 4.01
Ba 0.3231 0.3231 0.3231  6 Mn 3.63-3.64, 3 Ba 4.01



(9)
## Ba3Mn2 (GGA-PBE)

Data for a relaxed structure of Ba3Mn2.

Summary:
As for the energy of formation from the pure elements: 0.695 eV/atom.

Lattice parameters (Å, degrees): 13.6592 13.6592 13.6592 18.02 18.02 18.02
With the nearest neighbours (Å) after each atom.
Fractional positions:
Ba 0.0000 0.0000 0.0000  6 Mn 3.46
Ba 0.7832 0.7832 0.7832  3 Mn 3.36
Ba 0.2168 0.2168 0.2168  3 Mn 3.36
Mn 0.3933 0.3933 0.3933  6 Ba 3.36-3.46
Mn 0.6067 0.6067 0.6067  6 Ba 3.36-3.46



(10)
## Ba2Mn (GGA-PBE)

Data for a relaxed structure of Ba2Mn.

Summary:
As for the energy of formation from the pure elements: 0.585 eV/atom.

Lattice parameters (Å, degrees): 5.8173 5.8173 5.8173 60.00 60.00 60.00
With the nearest neighbours (Å) after each atom.
Fractional positions:
Ba 0.7500 0.7500 0.7500  4 Mn 3.56
Ba 0.2500 0.2500 0.2500  4 Mn 3.56
Mn 0.0000 0.0000 0.0000  8 Ba 3.56



(11)
## Ba2Mn (GGA-PBE)

Data for a relaxed structure of Ba2Mn.

Summary:
As for the energy of formation from the pure elements: 1.027 eV/atom.

Lattice parameters (Å, degrees): 7.2655 7.2655 7.2655 60.00 60.00 60.00
With the nearest neighbours (Å) after each atom.
Fractional positions:
Ba 0.1250 0.6250 0.1250  6 Ba 3.63
Ba 0.1250 0.1250 0.1250  6 Ba 3.63
Ba 0.6250 0.1250 0.1250  6 Ba 3.63
Ba 0.1250 0.1250 0.6250  6 Ba 3.63
Mn 0.7500 0.7500 0.7500  12 Ba 4.26, 4 Mn 4.45
Mn 0.5000 0.5000 0.5000  12 Ba 4.26, 4 Mn 4.45



(12)
## Ba3Mn2 (GGA-PBE)

Data for a relaxed structure of Ba3Mn2.

Summary:
As for the energy of formation from the pure elements: 0.592 eV/atom.

Lattice parameters (Å, degrees): 5.7103 5.7103 7.2172 90.00 90.00 120.00
With the nearest neighbours (Å) after each atom.
Fractional positions:
Ba 0.0000 0.0000 0.0000  6 Mn 3.43
Ba 0.6667 0.3333 0.6615  4 Mn 3.38-3.63
Ba 0.3333 0.6667 0.3385  4 Mn 3.38-3.63
Mn 0.6667 0.3333 0.1293  7 Ba 3.38-3.63
Mn 0.3333 0.6667 0.8707  7 Ba 3.38-3.63



(13)
## Ba3Mn (GGA-PBE)

Data for a relaxed structure of Ba3Mn.

Summary:
As for the energy of formation from the pure elements: 0.543 eV/atom.

Lattice parameters (Å, degrees): 7.4266 7.4266 7.4266 116.63 116.63 116.63
With the nearest neighbours (Å) after each atom.
Fractional positions:
Ba 0.0000 0.0000 0.0000  2 Mn 3.90, 6 Ba 3.90-4.14
Ba 0.5000 0.0000 0.5000  6 Ba 3.90-4.14, 2 Mn 3.90
Ba 0.5000 0.5000 0.0000  6 Ba 3.90-4.14, 2 Mn 3.90
Mn 0.0000 0.5000 0.5000  6 Ba 3.90, 2 Mn 4.14



| no. | total magnetization (μB/cell) |
| --- | --- |
| 1 | 4.3 |
| 2 | 3.3 |
| 3 | 6.6 |
| 4 | 15.9 |
| 5 | 3.4 |
| 6 | 13.7 |
| 7 | 19.3 |
| 8 | 26.1 |
| 9 | 7.1 |
| 10 | 3.3 |
| 11 | 7.4 |
| 12 | 7.1 |
| 13 | 4.3 |